# 1
Density functional theory data (PBE) for a geometry-optimized CsGeSbIr structure.

```
8
Lattice="4.208 0.000 0.000 0.000 4.208 0.000 0.000 0.000 14.210" Properties=species:S:1:pos:R:3 pbc="T T T"
Cs 1.052 1.052 10.599
Cs 3.156 3.156 3.611
Sb 1.052 3.156 7.105
Sb 3.156 1.052 7.105
Ge 1.052 1.052 1.311
Ge 3.156 3.156 12.899
Ir 1.052 3.156 0.000
Ir 3.156 1.052 0.000
```

Output
Size of the total moment, Bohr magnetons per cell: 0.00
Space-group type: P4/nmm (129)
Uncorrected formation energy, eV per atom: -0.2387
Density of states at the Fermi level, states/eV/f.u.: 2.900

***

# 2
Density functional theory data (PBE) for a geometry-optimized CsSnGeIr structure.

```
8
Lattice="4.189 0.000 0.000 0.000 4.189 0.000 0.000 0.000 14.531" Properties=species:S:1:pos:R:3 pbc="T T T"
Ge 1.047 1.047 1.330
Ge 3.141 3.141 13.200
Ir 3.141 1.047 0.000
Ir 1.047 3.141 0.000
Cs 3.141 3.141 3.549
Cs 1.047 1.047 10.981
Sn 3.141 1.047 7.265
Sn 1.047 3.141 7.265
```

Output
Size of the total moment, Bohr magnetons per cell: 0.00
Space-group type: P4/nmm (129)
Density of states at the Fermi level, states/eV/f.u.: 2.651
E_form, eV/atom: -0.190

***

# 3
Density functional theory data (PBE) for a geometry-optimized CsTlGeIr structure.

```
8
Lattice="4.272 0.000 0.000 0.000 4.272 0.000 0.000 0.000 14.615" Properties=species:S:1:pos:R:3 pbc="T T T"
Ge 3.204 3.204 13.340
Ge 1.068 1.068 1.275
Ir 3.204 1.068 0.000
Ir 1.068 3.204 0.000
Cs 1.068 1.068 11.209
Cs 3.204 3.204 3.406
Tl 3.204 1.068 7.308
Tl 1.068 3.204 7.308
```

Output
Size of the total moment, Bohr magnetons per cell: 0.00
Space-group type: P4/nmm (129)
Density of states at the Fermi level, states/eV/f.u.: 3.564
E_form, eV/atom: -0.165

***

# 4
Density functional theory data (PBE) for a geometry-optimized CsVGe2Ir structure.

```
5
Lattice="4.778 0.000 0.000 0.000 6.486 0.000 0.000 0.000 4.778" Properties=species:S:1:pos:R:3 pbc="T T T"
Cs 0.000 3.243 0.000
Ir 0.000 0.000 0.000
Ge 0.000 0.000 2.389
Ge 2.389 0.000 0.000
V 2.389 3.243 2.389
```

Output
Size of the total moment, Bohr magnetons per cell: 4.63
Space-group type: P4/mmm (123)
Density of states at the Fermi level, states/eV/f.u.: 5.079
E_form, eV/atom: 0.937

***

The lowest density of states at the Fermi level belongs to which entry?
CsSnGeIr

***

size of the total moment of number 2 (CsSnGeIr)?
0.00 Bohr magnetons per cell